No. 1
DFT (GGA-PBE) results for TiP2S8 after structural relaxation.

Cell lengths 6.6449, 6.6449, 6.7300 Å; angles 90.00, 90.00, 120.00 degrees
Space group P-3m1 (No. 164)
Unique sites:
Ti1 0.0000 0.0000 0.0000 (multiplicity 1)
P1 0.3333 0.6667 0.3099 (multiplicity 2)
S1 0.1590 0.3179 0.2370 (multiplicity 6)
S2 0.3333 0.6667 0.6059 (multiplicity 2)

Output
**Uncorrected formation energy**: -2.3 kJ/mol of atoms
**V**: 23.40 A^3/atom
**DOS at the Fermi energy**: 6.96 states/eV/f.u.
**E**: -52.00 eV per formula unit


No. 2
DFT (GGA-PBE) results for TiP2S after structural relaxation.

Cell lengths 5.4660, 5.4660, 11.4076 Å; angles 90.00, 90.00, 90.00 degrees
Space group I-42d (No. 122)
Unique sites:
Ti1 0.0000 0.0000 0.0000 (multiplicity 4)
P1 0.2488 0.2500 0.1250 (multiplicity 8)
S1 0.0000 0.0000 0.5000 (multiplicity 4)

Output
**Uncorrected formation energy**: 19.1 kJ/mol of atoms
**V**: 21.30 A^3/atom
**DOS at the Fermi energy**: 1.70 states/eV/f.u.
**E**: -22.05 eV per formula unit


No. 3
DFT (GGA-PBE) results for Ti3PS after structural relaxation.

Cell lengths 4.4337, 4.4337, 4.4337 Å; angles 90.00, 90.00, 90.00 degrees
Space group Pm-3m (No. 221)
Unique sites:
Ti1 0.0000 0.0000 0.5000 (multiplicity 3)
P1 0.5000 0.5000 0.5000 (multiplicity 1)
S1 0.0000 0.0000 0.0000 (multiplicity 1)

Output
**Uncorrected formation energy**: -25.9 kJ/mol of atoms
**V**: 17.43 A^3/atom
**Energy above the lowest structure with this stoichiometry**: 2.95 eV/f.u.
**DOS at the Fermi energy**: 5.49 states/eV/f.u.
**E**: -34.56 eV per formula unit


No. 4
DFT (GGA-PBE) results for Ti3PS after structural relaxation.

Cell lengths 12.8933, 4.1993, 6.4520 Å; angles 90.00, 92.82, 90.00 degrees
Space group C2/m (No. 12)
Unique sites:
Ti1 0.0421 0.0000 0.2506 (multiplicity 4)
Ti2 0.1821 0.5000 0.0570 (multiplicity 4)
Ti3 0.1831 0.0000 0.5808 (multiplicity 4)
P1 0.1212 0.5000 0.4110 (multiplicity 4)
S1 0.1277 0.0000 0.9266 (multiplicity 4)

Output
**Uncorrected formation energy**: -82.8 kJ/mol of atoms
**V**: 17.45 A^3/atom
**Energy above the lowest structure with this stoichiometry**: 0.00 eV/f.u.
**DOS at the Fermi energy**: 3.14 states/eV/f.u.
**E**: -37.51 eV per formula unit


No. 5
DFT (GGA-PBE) results for TiP2S2 after structural relaxation.

Cell lengths 4.4591, 4.4591, 4.3967 Å; angles 90.00, 90.00, 90.00 degrees
Space group P4/mmm (No. 123)
Unique sites:
Ti1 0.0000 0.0000 0.0000 (multiplicity 1)
P1 0.0000 0.5000 0.5000 (multiplicity 2)
S1 0.5000 0.5000 0.0000 (multiplicity 1)
S2 0.5000 0.5000 0.5000 (multiplicity 1)

Output
**Uncorrected formation energy**: 58.5 kJ/mol of atoms
**V**: 17.48 A^3/atom
**Energy above the lowest structure with this stoichiometry**: 1.26 eV/f.u.
**DOS at the Fermi energy**: 4.68 states/eV/f.u.
**E**: -23.94 eV per formula unit


No. 6
DFT (GGA-PBE) results for TiP2S2 after structural relaxation.

Cell lengths 4.5334, 4.5334, 5.0672 Å; angles 90.00, 90.00, 90.00 degrees
Space group P4/mmm (No. 123)
Unique sites:
Ti1 0.0000 0.0000 0.0000 (multiplicity 1)
P1 0.0000 0.0000 0.5000 (multiplicity 1)
P2 0.5000 0.5000 0.5000 (multiplicity 1)
S1 0.0000 0.5000 0.0000 (multiplicity 2)

Output
**Uncorrected formation energy**: 34.1 kJ/mol of atoms
**V**: 20.83 A^3/atom
**Energy above the lowest structure with this stoichiometry**: 0.00 eV/f.u.
**DOS at the Fermi energy**: 4.05 states/eV/f.u.
**E**: -25.20 eV per formula unit


No. 7
DFT (GGA-PBE) results for Ti2P2S after structural relaxation.

Cell lengths 6.6714, 6.6714, 3.3854 Å; angles 90.00, 90.00, 90.00 degrees
Space group P4/mbm (No. 127)
Unique sites:
Ti1 0.1635 0.3365 0.0000 (multiplicity 4)
P1 0.1259 0.6259 0.5000 (multiplicity 4)
S1 0.0000 0.0000 0.0000 (multiplicity 2)

Output
**Uncorrected formation energy**: -88.6 kJ/mol of atoms
**V**: 15.07 A^3/atom
**DOS at the Fermi energy**: 1.22 states/eV/f.u.
**E**: -35.33 eV per formula unit


No. 8
DFT (GGA-PBE) results for Ti7P2S2 after structural relaxation.

Cell lengths 3.3327, 12.6640, 7.6888 Å; angles 90.00, 90.00, 90.00 degrees
Space group Imm2 (No. 44)
Unique sites:
Ti1 0.0000 0.0000 0.0000 (multiplicity 2)
Ti2 0.0000 0.1163 0.5948 (multiplicity 4)
Ti3 0.0000 0.3202 0.3720 (multiplicity 4)
Ti4 0.0000 0.3565 0.7632 (multiplicity 4)
P1 0.0000 0.0000 0.3333 (multiplicity 2)
P2 0.0000 0.5000 0.2491 (multiplicity 2)
S1 0.0000 0.2391 0.0732 (multiplicity 4)

Output
**Uncorrected formation energy**: -105.7 kJ/mol of atoms
**V**: 14.75 A^3/atom
**DOS at the Fermi energy**: 7.06 states/eV/f.u.
**E**: -86.39 eV per formula unit